(1)
HgAu2O: optimized geometry, PBE-GGA.

Cell: 6.0627 6.0627 11.2472 Å, 90.00 90.00 90.00°
Space group I4_1/amd (No. 141, origin choice 2)
One atom of each set of equivalent atoms:
Hg 0.0000 0.2500 0.3750 (multiplicity 4)
Au 0.0000 0.0000 0.0000 (multiplicity 8)
O 0.0000 0.2500 0.8750 (multiplicity 4)

Properties
* final energy: -2.801 eV per atom
* crystal system: tetragonal
* ΔE_f (raw): 0.15 eV per atom
* theoretical density: 9.81 g/cm3
* size of the total moment: 0.00 Bohr magnetons per cell

---

(2)
NpCu3Cl8: optimized geometry, PBE-GGA.

Cell: 6.6536 7.0550 7.6533 Å, 115.43 94.58 93.56°
Space group P-1 (No. 2)
One atom of each set of equivalent atoms:
Np 0.0000 0.0000 0.0000 (multiplicity 1)
Cu 0.0000 0.5000 0.0000 (multiplicity 1)
Cu 0.5000 0.0000 0.5000 (multiplicity 1)
Cu 0.5000 0.5000 0.5000 (multiplicity 1)
Cl 0.1935 0.6593 0.8730 (multiplicity 2)
Cl 0.2361 0.1566 0.3250 (multiplicity 2)
Cl 0.2454 0.1684 0.8560 (multiplicity 2)
Cl 0.3269 0.6858 0.3850 (multiplicity 2)

Properties
* final energy: -4.277 eV per atom
* crystal system: triclinic
* ΔE_f (raw): -0.94 eV per atom
* theoretical density: 3.67 g/cm3
* size of the total moment: 1.95 Bohr magnetons per cell

---

(3)
CrCuGe2Se6: optimized geometry, PBE-GGA.

Cell: 12.5803 11.4310 6.5958 Å, 90.00 102.42 90.00°
Space group C2/c (No. 15)
One atom of each set of equivalent atoms:
Cr 0.0000 0.0960 0.2500 (multiplicity 4)
Cu 0.0000 0.2544 0.7500 (multiplicity 4)
Ge 0.1910 0.4106 0.2993 (multiplicity 8)
Se 0.1036 0.0816 0.6256 (multiplicity 8)
Se 0.1218 0.2361 0.1032 (multiplicity 8)
Se 0.1235 0.4110 0.6171 (multiplicity 8)

Properties
* final energy: -4.609 eV per atom
* crystal system: monoclinic
* ΔE_f (raw): -0.22 eV per atom
* theoretical density: 5.27 g/cm3
* size of the total moment: 11.91 Bohr magnetons per cell

---

(4)
Zr2CdTe: optimized geometry, PBE-GGA.

Cell: 9.7968 4.2336 5.0844 Å, 90.00 121.08 90.00°
Space group C2/m (No. 12)
One atom of each set of equivalent atoms:
Zr 0.2436 0.0000 0.2434 (multiplicity 4)
Cd 0.0000 0.0000 0.5000 (multiplicity 2)
Te 0.0000 0.5000 0.0000 (multiplicity 2)

Properties
* final energy: -5.564 eV per atom
* crystal system: monoclinic
* ΔE_f (raw): -0.28 eV per atom
* theoretical density: 7.77 g/cm3
* size of the total moment: 0.00 Bohr magnetons per cell

---

(5)
TbNd2Sm: optimized geometry, PBE-GGA.

Cell: 8.1739 8.1739 8.1739 Å, 90.00 90.00 90.00°
Space group Fm-3m (No. 225)
One atom of each set of equivalent atoms:
Tb 0.0000 0.0000 0.0000 (multiplicity 4)
Nd 0.2500 0.2500 0.2500 (multiplicity 8)
Sm 0.0000 0.0000 0.5000 (multiplicity 4)

Properties
* formation enthalpy at 0 K: 130 meV/atom
* final energy: -4.591 eV per atom
* crystal system: cubic
* theoretical density: 7.27 g/cm3
* size of the total moment: 0.00 Bohr magnetons per cell

---

(6)
Pa2TaNbN5: optimized geometry, PBE-GGA.

Cell: 3.3164 13.2055 10.3886 Å, 90.00 90.00 90.00°
Space group Cmc2_1 (No. 36)
One atom of each set of equivalent atoms:
Pa 0.0000 0.1039 0.0000 (multiplicity 4)
Pa 0.0000 0.1465 0.6161 (multiplicity 4)
Ta 0.0000 0.2102 0.3260 (multiplicity 4)
Nb 0.0000 0.4689 0.7801 (multiplicity 4)
N 0.0000 0.0577 0.3971 (multiplicity 4)
N 0.0000 0.2755 0.9762 (multiplicity 4)
N 0.0000 0.3143 0.6904 (multiplicity 4)
N 0.0000 0.3699 0.3197 (multiplicity 4)
N 0.0000 0.4864 0.0918 (multiplicity 4)

Properties
* final energy: -10.514 eV per atom
* crystal system: orthorhombic
* ΔE_f (raw): -1.34 eV per atom
* theoretical density: 11.77 g/cm3
* size of the total moment: 0.00 Bohr magnetons per cell

---

(7)
GaP2PbS8: optimized geometry, PBE-GGA.

Cell: 5.9052 5.9052 8.5695 Å, 90.00 90.00 120.00°
Space group P-3 (No. 147)
One atom of each set of equivalent atoms:
Ga 0.0000 0.0000 0.0000 (multiplicity 1)
P 0.3333 0.6667 0.2446 (multiplicity 2)
Pb 0.0000 0.0000 0.5000 (multiplicity 1)
S 0.0013 0.6762 0.8165 (multiplicity 6)
S 0.3333 0.6667 0.4826 (multiplicity 2)

Properties
* final energy: -4.405 eV per atom
* crystal system: trigonal
* ΔE_f (raw): -0.19 eV per atom
* theoretical density: 3.82 g/cm3
* size of the total moment: 0.02 Bohr magnetons per cell

---

(8)
MnTc2Ru: optimized geometry, PBE-GGA.

Cell: 6.1009 6.1009 6.1009 Å, 90.00 90.00 90.00°
Space group F-43m (No. 216)
One atom of each set of equivalent atoms:
Mn 0.0000 0.0000 0.0000 (multiplicity 4)
Tc 0.0000 0.0000 0.5000 (multiplicity 4)
Tc 0.2500 0.2500 0.7500 (multiplicity 4)
Ru 0.2500 0.2500 0.2500 (multiplicity 4)

Properties
* formation enthalpy at 0 K: 183 meV/atom
* final energy: -9.611 eV per atom
* crystal system: cubic
* theoretical density: 10.30 g/cm3
* size of the total moment: 13.91 Bohr magnetons per cell

---

(9)
Al2V5Mo: optimized geometry, PBE-GGA.

Cell: 4.4182 4.4182 11.7072 Å, 90.00 90.00 90.00°
Space group I4/mmm (No. 139)
One atom of each set of equivalent atoms:
Al 0.0000 0.0000 0.2491 (multiplicity 4)
V 0.0000 0.0000 0.0000 (multiplicity 2)
V 0.0000 0.5000 0.1169 (multiplicity 8)
Mo 0.0000 0.0000 0.5000 (multiplicity 2)

Properties
* formation enthalpy at 0 K: -164 meV/atom
* final energy: -8.152 eV per atom
* crystal system: tetragonal
* theoretical density: 5.88 g/cm3
* size of the total moment: 0.00 Bohr magnetons per cell

---

(10)
Tb4NdTm: optimized geometry, PBE-GGA.

Cell: 4.5508 4.5508 10.9776 Å, 90.00 90.00 90.00°
Space group P4/mmm (No. 123)
One atom of each set of equivalent atoms:
Tb 0.0000 0.5000 0.2447 (multiplicity 4)
Nd 0.0000 0.0000 0.5000 (multiplicity 1)
Tm 0.5000 0.5000 0.0000 (multiplicity 1)

Properties
* formation enthalpy at 0 K: 644 meV/atom
* final energy: -3.983 eV per atom
* crystal system: tetragonal
* theoretical density: 6.93 g/cm3
* size of the total moment: 0.00 Bohr magnetons per cell

---

(11)
MnAu2Cl: optimized geometry, PBE-GGA.

Cell: 5.3054 9.0015 3.2391 Å, 90.00 90.00 90.00°
Space group Cmmm (No. 65)
One atom of each set of equivalent atoms:
Mn 0.0000 0.0000 0.0000 (multiplicity 2)
Au 0.2500 0.2500 0.5000 (multiplicity 4)
Cl 0.0000 0.5000 0.0000 (multiplicity 2)

Properties
* final energy: -4.175 eV per atom
* crystal system: orthorhombic
* ΔE_f (raw): 0.22 eV per atom
* theoretical density: 10.40 g/cm3
* size of the total moment: 8.76 Bohr magnetons per cell

---

(12)
BaScAg2: optimized geometry, PBE-GGA.

Cell: 4.7041 4.7041 9.2375 Å, 90.00 90.00 90.00°
Space group I-4m2 (No. 119)
One atom of each set of equivalent atoms:
Ba 0.0000 0.0000 0.0000 (multiplicity 2)
Sc 0.0000 0.5000 0.7500 (multiplicity 2)
Ag 0.0000 0.0000 0.5000 (multiplicity 2)
Ag 0.0000 0.5000 0.2500 (multiplicity 2)

Properties
* formation enthalpy at 0 K: 159 meV/atom
* final energy: -3.331 eV per atom
* crystal system: tetragonal
* theoretical density: 6.47 g/cm3
* size of the total moment: 0.00 Bohr magnetons per cell

---

Look up the size of the total moment of the eighth one.
13.91 Bohr magnetons per cell